CsSe3 PBE-GGA relaxed; mass density = 4.78 Mg/m³; distance to the lowest polymorph of the same formula = 364 meV per atom; raw formation energy = -8.9 kJ per mole of atoms; size of the total moment = 0.00 μB/f.u.; E = -2.919 eV/atom; symmetry = Pmm2, No. 25
1.0
-3.691 -1.824 0.741
0.907 -0.380 3.582
-3.323 7.386 1.625
Se Cs
3 1
direct
0.500 0.500 0.816
0.000 0.000 0.943
0.500 0.000 0.588
0.000 0.500 0.320